YHo5Cu4: relaxed, PBE-GGA.

Geometry as POSCAR:
```
YHo5Cu4
1.0
3.459 0.000 0.000
0.000 3.459 0.000
0.000 0.000 18.992
Y Ho Cu
1 5 4
Cartesian
0.000 0.000 0.000
1.729 1.729 2.602
1.729 1.729 6.028
1.729 1.729 9.496
1.729 1.729 12.964
1.729 1.729 16.390
0.000 0.000 4.309
0.000 0.000 7.769
0.000 0.000 11.222
0.000 0.000 14.683
```

Calculated values
Volume, A^3/atom: 22.717
Energy of formation from the pure elements, meV per atom: -202
Total DFT energy (no corrections), eV per atom: -4.78
DOS(E_F), states/eV per cell: 7.841
Space-group type: No. 123

=====

YHoCu: relaxed, PBE-GGA.

Geometry as POSCAR:
```
YHoCu
1.0
6.293 -1.846 0.000
6.293 1.846 0.000
-4.835 0.000 6.482
Y Ho Cu
2 2 2
Cartesian
1.658 0.000 0.409
6.094 0.000 6.073
2.096 0.000 3.962
5.655 0.000 2.520
-1.744 0.000 4.359
9.496 0.000 2.123
```

Calculated values
Volume, A^3/atom: 25.108
Energy of formation from the pure elements, meV per atom: -150
Energy above the most stable polymorph in this dataset, meV per atom: 24.7
Total DFT energy (no corrections), eV per atom: -5.20
DOS(E_F), states/eV per cell: 6.678
Space-group type: No. 12

=====

YHo3Cu2: relaxed, PBE-GGA.

Geometry as POSCAR:
```
YHo3Cu2
1.0
-3.388 6.686 3.570
3.388 -6.686 3.570
3.388 6.686 -3.570
Y Ho Cu
2 6 4
Cartesian
0.000 0.000 0.000
0.000 0.000 3.570
3.388 3.545 -1.785
3.388 0.000 1.785
0.000 3.142 1.785
3.388 3.545 1.785
0.000 6.686 1.785
0.000 3.142 5.355
4.794 1.900 0.000
1.406 4.786 0.000
1.982 1.900 3.570
-1.406 4.786 3.570
```

Calculated values
Volume, A^3/atom: 26.959
Energy of formation from the pure elements, meV per atom: 11
Energy above the most stable polymorph in this dataset, meV per atom: 184.5
Total DFT energy (no corrections), eV per atom: -4.72
DOS(E_F), states/eV per cell: 14.196
Space-group type: No. 72

=====

YHo4Cu5: relaxed, PBE-GGA.

Geometry as POSCAR:
```
YHo4Cu5
1.0
3.438 0.000 0.000
0.000 3.438 0.000
0.000 0.000 17.460
Y Ho Cu
1 4 5
Cartesian
0.000 0.000 0.000
0.000 0.000 3.509
0.000 0.000 6.989
0.000 0.000 10.470
0.000 0.000 13.950
1.719 1.719 1.788
1.719 1.719 5.247
1.719 1.719 8.730
1.719 1.719 12.213
1.719 1.719 15.672
```

Calculated values
Volume, A^3/atom: 20.642
Energy of formation from the pure elements, meV per atom: -265
Total DFT energy (no corrections), eV per atom: -4.79
DOS(E_F), states/eV per cell: 3.832
Space-group type: No. 123